[1]
First-principles (PBE-GGA) data for Pa5Cu2Si5 after structural relaxation, as listed in Alexandria via LeMat-Bulk.

Cell: 4.0039 7.4023 8.6532 Å, 91.21 76.62 74.31°
With the nearest neighbours (Å) after each atom.
Fractional positions:
1 Pa 0.5000 0.5000 0.5000  6 Si 2.99-3.00, 4 Cu 3.01
2 Pa 0.4077 0.2817 0.9030  1 Pa 2.79, 3 Cu 2.94-3.01, 7 Si 3.00-3.07
3 Pa 0.3245 0.0430 0.3079  1 Pa 2.79, 5 Si 2.90-3.04, 1 Cu 3.10
4 Pa 0.6755 0.9570 0.6921  1 Pa 2.79, 5 Si 2.90-3.04, 1 Cu 3.10
5 Pa 0.5923 0.7183 0.0970  1 Pa 2.79, 3 Cu 2.94-3.01, 7 Si 3.00-3.07
6 Cu 0.8458 0.5397 0.7686  3 Si 2.33-2.36
7 Cu 0.1542 0.4603 0.2314  3 Si 2.33-2.36
8 Si 0.9324 0.7607 0.3745  1 Cu 2.36
9 Si 0.2368 0.6957 0.8306  2 Cu 2.33, 1 Si 2.49
10 Si 0.7632 0.3043 0.1694  2 Cu 2.33, 1 Si 2.49
11 Si 0.0676 0.2393 0.6255  1 Cu 2.36
12 Si 0.0000 0.0000 0.0000  2 Si 2.49

Calculated values
Final energy ... -7.311 eV per atom
Density ... 9875 kg/m3
Energy relative to the elements, uncorrected ... -412.1 meV per atom

[2]
First-principles (PBE-GGA) data for Tb4TeC2 after structural relaxation, as listed in Alexandria via LeMat-Bulk.

Cell: 3.8353 6.5212 12.8164 Å, 90.00 90.00 107.10°
With the nearest neighbours (Å) after each atom.
Fractional positions:
1 C 0.1364 0.2728 0.4409  6 Tb 2.45-2.67
2 C 0.8636 0.7272 0.9409  6 Tb 2.45-2.67
3 C 0.1364 0.2728 0.0591  6 Tb 2.45-2.67
4 C 0.8636 0.7272 0.5591  6 Tb 2.45-2.67
5 Te 0.6077 0.2153 0.7500  6 Tb 3.05-3.17
6 Te 0.3923 0.7847 0.2500  6 Tb 3.05-3.17
7 Tb 0.7585 0.5169 0.1027  3 C 2.45-2.51
8 Tb 0.7585 0.5169 0.3973  3 C 2.45-2.51
9 Tb 0.2415 0.4831 0.8973  3 C 2.45-2.51
10 Tb 0.2415 0.4831 0.6027  3 C 2.45-2.51
11 Tb 0.9172 0.8343 0.7500  2 C 2.54
12 Tb 0.0828 0.1657 0.2500  2 C 2.54
13 Tb 0.5000 0.0000 0.0000  4 C 2.67
14 Tb 0.5000 0.0000 0.5000  4 C 2.67

Calculated values
Final energy ... -6.317 eV per atom
ΔE to the lowest computed polymorph ... 0.0 meV/atom
Density ... 8535 kg/m3
Energy relative to the elements, uncorrected ... -586.6 meV per atom

[3]
First-principles (PBE-GGA) data for BeHgS3 after structural relaxation, as listed in Alexandria via LeMat-Bulk.

Cell: 4.9415 4.9415 4.9415 Å, 90.00 90.00 90.00°
With the nearest neighbours (Å) after each atom.
Fractional positions:
1 Be 0.5000 0.5000 0.5000  12 S 3.49
2 S 0.0000 0.5000 0.0000  2 Hg 2.47
3 S 0.0000 0.0000 0.5000  2 Hg 2.47
4 S 0.5000 0.0000 0.0000  2 Hg 2.47
5 Hg 0.0000 0.0000 0.0000  6 S 2.47

Calculated values
Final energy ... -1.949 eV per atom
ΔE to the lowest computed polymorph ... 930.3 meV/atom
Density ... 4208 kg/m3
Energy relative to the elements, uncorrected ... 1333.3 meV per atom

What is the formula in the second record? Tb4TeC2

Look up the energy relative to the elements, uncorrected of the third one. 1333.3 meV per atom